(1)
Th4GaGeP2 after structural relaxation. Source: the Alexandria database, functional PBE-GGA.

Properties
Its volume is 26.77 Å³ per atom. The energy is -7.033 eV per atom.

a = 4.2305 Å, b = 7.3077 Å, c = 7.3495 Å
α = 70.50°, β = 90.00°, γ = 90.00°
Closest atoms and distances in Å follow each position.
Element x y z (fractional)
P  0.0000  0.0000  0.0000  6 Th 2.97
Th  0.5000  0.2427  0.7510  3 P 2.96-2.97, 2 Ge 3.02, 1 Ga 3.03
Ge  0.0000  0.5000  0.5000  6 Th 3.02
Th  0.0000  0.7588  0.7452  3 P 2.95-2.97, 1 Ge 3.02, 2 Ga 3.03
Th  0.0000  0.2412  0.2548  3 P 2.95-2.97, 1 Ge 3.02, 2 Ga 3.03
Th  0.5000  0.7573  0.2490  3 P 2.96-2.97, 2 Ge 3.02, 1 Ga 3.03
Ga  0.5000  0.5000  0.0000  6 Th 3.03
P  0.5000  0.0000  0.5000  6 Th 2.95-2.96


(2)
Zr2GaGeP after structural relaxation. Source: the Alexandria database, functional PBE-GGA.

Properties
Its volume is 22.41 Å³ per atom. The energy is -6.030 eV per atom.

a = 4.9068 Å, b = 4.6537 Å, c = 4.9068 Å
α = 90.00°, β = 90.00°, γ = 90.00°
Closest atoms and distances in Å follow each position.
Element x y z (fractional)
Zr  0.5000  0.0000  0.0000  2 P 2.45
Ga  0.5000  0.5000  0.5000  8 Zr 3.38, 4 Ge 3.47
Zr  0.0000  0.0000  0.5000  2 P 2.45
P  0.0000  0.0000  0.0000  2 Ge 2.33, 4 Zr 2.45
Ge  0.0000  0.5000  0.0000  2 P 2.33


(3)
Pa2GaGe after structural relaxation. Source: the Alexandria database, functional PBE-GGA.

Properties
The relative energy among the computed polymorphs is 0.04 eV/f.u. Its volume is 22.98 Å³ per atom.

a = 4.0645 Å, b = 5.7864 Å, c = 8.3929 Å
α = 111.32°, β = 90.00°, γ = 90.00°
Closest atoms and distances in Å follow each position.
Element x y z (fractional)
Pa  0.7500  0.2182  0.4265  4 Ga 2.97-3.19, 3 Ge 2.98-3.21
Ge  0.2500  0.3359  0.2082  2 Ga 2.70, 5 Pa 2.97-2.98
Ge  0.7500  0.6641  0.7918  2 Ga 2.70, 5 Pa 2.97-2.98
Pa  0.2500  0.7818  0.5735  4 Ga 2.97-3.19, 3 Ge 2.98-3.21
Pa  0.2500  0.7850  0.0688  4 Ge 2.97-3.21, 3 Ga 3.00-3.20
Ga  0.7500  0.6663  0.2913  2 Ge 2.70, 5 Pa 2.97-3.01
Ga  0.2500  0.3337  0.7087  2 Ge 2.70, 5 Pa 2.97-3.01
Pa  0.7500  0.2150  0.9312  4 Ge 2.97-3.21, 3 Ga 3.00-3.20